Below is a relaxed ScHg2Pd5 crystal, with properties calculated at the PBE level.

Calculated values
- E above lowest polymorph (eV per atom) = 0.000
- density (g/cm3) = 11.8
- ΔH_f (0 K) (kJ/mol of formula units) = -364
- density of states at the Fermi level (states/eV/f.u.) = 3.6
- SG = No. 139

Unit cell a=4.194 b=4.194 c=8.351 alpha=104.54 beta=104.54 gamma=90.00
Element x y z (fractional)
Pd  0.621  0.121  0.241
Pd  0.500  0.500  0.000
Pd  0.879  0.379  0.759
Pd  0.121  0.621  0.241
Pd  0.379  0.879  0.759
Hg  0.252  0.252  0.504
Hg  0.748  0.748  0.496
Sc  0.000  0.000  0.000